# 1
CoRhAu2: relaxed, GGA-PBE.

E_form in eV/atom: 0.29
Offset from the most stable computed form in meV/atom: 187
Total energy in eV/atom: -4.97
Volume in Å³/cell: 250

```
data_CoRhAu2
_cell_length_a 6.2973
_cell_length_b 6.2973
_cell_length_c 6.2973
_cell_angle_alpha 90.00
_cell_angle_beta 90.00
_cell_angle_gamma 90.00
_space_group_name_H-M_alt 'F m -3 m'
_space_group_IT_number 225
_space_group_name_Hall '-F 4 2 3'
loop_
_atom_site_label
_atom_site_type_symbol
_atom_site_fract_x
_atom_site_fract_y
_atom_site_fract_z
Co1 Co 0.0000 0.0000 0.0000
Rh1 Rh 0.0000 0.0000 0.5000
Au1 Au 0.2500 0.2500 0.2500
```

=====

# 2
CeGa5Ni2Pt: relaxed, GGA-PBE.

E_form in eV/atom: -0.36
Total energy in eV/atom: -4.66
Volume in Å³/cell: 155

```
data_CeGa5Ni2Pt
_cell_length_a 4.6788
_cell_length_b 4.6788
_cell_length_c 7.0689
_cell_angle_alpha 90.00
_cell_angle_beta 90.00
_cell_angle_gamma 90.00
_space_group_name_H-M_alt 'P 4/m m m'
_space_group_IT_number 123
_space_group_name_Hall '-P 4 2'
loop_
_atom_site_label
_atom_site_type_symbol
_atom_site_fract_x
_atom_site_fract_y
_atom_site_fract_z
Ce1 Ce 0.0000 0.0000 0.0000
Ga1 Ga 0.0000 0.5000 0.3033
Ga2 Ga 0.5000 0.5000 0.0000
Ni1 Ni 0.5000 0.5000 0.3234
Pt1 Pt 0.0000 0.0000 0.5000
```